Record 1
Compound: CaPm2Y3Te6
Source: the Alexandria database
Functional: PBE
Structure: optimized geometry

Lattice parameters (Å, degrees): 4.405 8.873 9.904 103.20 102.85 90.00
Element x y z (fractional)
Ca 0.500 0.000 0.000
Te 0.662 0.587 0.324
Te 0.338 0.413 0.676
Te 0.334 0.923 0.667
Te 0.666 0.077 0.333
Te 0.001 0.749 0.001
Te 0.999 0.251 0.999
Pm 0.827 0.656 0.655
Pm 0.173 0.344 0.345
Y 0.169 0.828 0.338
Y 0.831 0.172 0.662
Y 0.500 0.500 0.000

Results
Formation energy without anion corrections (meV/atom): -1402.1
Calculated volume (Å³ per atom): 30.6
Total magnetization (μB per formula unit): 0.00
E (eV per formula unit): -66.57
Symmetry: No. 12



Record 2
Compound: Ca4PmY3Te8
Source: the Alexandria database
Functional: PBE
Structure: optimized geometry

Lattice parameters (Å, degrees): 8.815 8.956 8.815 119.48 120.00 90.00
Element x y z (fractional)
Y 0.500 0.500 0.500
Y 0.500 0.500 0.000
Y 0.000 0.500 0.500
Ca 0.000 0.000 0.500
Ca 0.500 0.000 0.500
Ca 0.000 0.000 0.000
Ca 0.500 0.000 0.000
Te 0.252 0.748 0.503
Te 0.251 0.748 0.997
Te 0.749 0.252 0.003
Te 0.252 0.255 0.503
Te 0.745 0.748 0.997
Te 0.748 0.745 0.497
Te 0.255 0.252 0.003
Te 0.748 0.252 0.497
Pm 0.000 0.500 0.000

Results
Formation energy without anion corrections (meV/atom): -1479.4
Calculated volume (Å³ per atom): 31.0
Total magnetization (μB per formula unit): 0.00
E (eV per formula unit): -80.95
Symmetry: No. 166



Record 3
Compound: Ca3PmY2Te6
Source: the Alexandria database
Functional: PBE
Structure: optimized geometry

Lattice parameters (Å, degrees): 4.410 8.965 10.005 104.28 102.73 90.00
Element x y z (fractional)
Te 0.669 0.085 0.337
Te 0.999 0.746 0.999
Te 0.669 0.578 0.339
Te 0.331 0.915 0.663
Te 0.331 0.422 0.661
Te 0.001 0.254 0.001
Pm 0.500 0.000 0.000
Ca 0.165 0.831 0.330
Ca 0.500 0.500 0.000
Ca 0.835 0.169 0.670
Y 0.163 0.326 0.327
Y 0.837 0.674 0.673

Results
Formation energy without anion corrections (meV/atom): -1483.5
Calculated volume (Å³ per atom): 31.1
Total magnetization (μB per formula unit): 0.00
E (eV per formula unit): -60.34
Symmetry: No. 12



Record 4
Compound: Ca3Pm3YTe8
Source: the Alexandria database
Functional: PBE
Structure: optimized geometry

Lattice parameters (Å, degrees): 8.880 8.880 9.000 119.56 90.00 120.00
Element x y z (fractional)
Te 0.248 0.000 0.252
Te 0.752 0.504 0.252
Te 0.248 0.000 0.748
Te 0.248 0.496 0.748
Te 0.249 0.498 0.248
Te 0.752 0.000 0.252
Te 0.751 0.502 0.752
Te 0.752 0.000 0.748
Y 0.000 0.000 0.500
Ca 0.000 0.000 0.000
Ca 0.000 0.500 0.000
Ca 0.500 0.500 0.000
Pm 0.500 0.000 0.500
Pm 0.500 0.500 0.500
Pm 0.000 0.500 0.500

Results
Formation energy without anion corrections (meV/atom): -1518.9
Calculated volume (Å³ per atom): 33.7
Total magnetization (μB per formula unit): 0.00
E (eV per formula unit): -74.64
Symmetry: No. 166



Record 5
Compound: Ca4Pm3YTe8
Source: the Alexandria database
Functional: PBE
Structure: optimized geometry

Lattice parameters (Å, degrees): 8.859 9.016 8.860 119.43 120.00 90.00
Element x y z (fractional)
Pm 0.500 0.500 0.500
Pm 0.000 0.500 0.500
Pm 0.500 0.500 0.000
Ca 0.000 0.000 0.500
Ca 0.500 0.000 0.500
Ca 0.500 0.000 0.000
Ca 0.000 0.000 0.000
Te 0.248 0.750 0.496
Te 0.752 0.249 0.997
Te 0.246 0.249 0.997
Te 0.754 0.751 0.003
Te 0.248 0.751 0.003
Te 0.752 0.250 0.504
Te 0.751 0.753 0.503
Te 0.249 0.247 0.497
Y 0.000 0.500 0.000

Results
Formation energy without anion corrections (meV/atom): -1498.6
Calculated volume (Å³ per atom): 31.5
Total magnetization (μB per formula unit): 0.00
E (eV per formula unit): -77.83
Symmetry: No. 166



Record 6
Compound: CaPm3Y2Te6
Source: the Alexandria database
Functional: PBE
Structure: optimized geometry

Lattice parameters (Å, degrees): 4.414 8.926 9.937 103.57 102.83 90.00
Element x y z (fractional)
Y 0.830 0.661 0.660
Y 0.170 0.339 0.340
Ca 0.500 0.000 0.000
Pm 0.834 0.175 0.669
Pm 0.166 0.825 0.331
Pm 0.500 0.500 0.000
Te 0.004 0.247 0.008
Te 0.333 0.423 0.666
Te 0.334 0.913 0.668
Te 0.666 0.087 0.332
Te 0.996 0.753 0.992
Te 0.667 0.577 0.334

Results
Formation energy without anion corrections (meV/atom): -1411.2
Calculated volume (Å³ per atom): 30.9
Total magnetization (μB per formula unit): 0.00
E (eV per formula unit): -64.97
Symmetry: No. 12



Record 7
Compound: CaPm2YTe4
Source: the Alexandria database
Functional: PBE
Structure: optimized geometry

Lattice parameters (Å, degrees): 4.409 7.748 7.686 71.06 90.00 90.00
Element x y z (fractional)
Te 0.000 0.256 0.250
Te 0.500 0.258 0.747
Te 0.500 0.742 0.253
Te 0.000 0.744 0.750
Pm 0.000 0.000 0.000
Pm 0.500 0.000 0.500
Ca 0.500 0.500 0.000
Y 0.000 0.500 0.500

Results
Formation energy without anion corrections (meV/atom): -1433.0
Calculated volume (Å³ per atom): 31.0
Total magnetization (μB per formula unit): 0.00
E (eV per formula unit): -42.00
Symmetry: No. 10



Record 8
Compound: CaPm2Th
Source: the Alexandria database
Functional: PBE
Structure: optimized geometry

Lattice parameters (Å, degrees): 3.674 3.674 10.531 90.00 90.00 90.00
Element x y z (fractional)
Pm 0.000 0.000 0.774
Pm 0.000 0.000 0.226
Th 0.500 0.500 0.000
Ca 0.500 0.500 0.500

Results
Calculated volume (Å³ per atom): 35.5
Total magnetization (μB per formula unit): 0.00
E (eV per formula unit): -18.78
Symmetry: No. 123



Record 9
Compound: CaPm6Th
Source: the Alexandria database
Functional: PBE
Structure: optimized geometry

Lattice parameters (Å, degrees): 5.188 5.188 10.309 90.00 90.00 90.00
Element x y z (fractional)
Th 0.000 0.000 0.500
Pm 0.500 0.500 0.500
Pm 0.500 0.000 0.739
Pm 0.000 0.500 0.261
Pm 0.500 0.500 0.000
Pm 0.500 0.000 0.261
Pm 0.000 0.500 0.739
Ca 0.000 0.000 0.000

Results
Calculated volume (Å³ per atom): 34.7
Total magnetization (μB per formula unit): 0.00
E (eV per formula unit): -37.41
Symmetry: No. 123



Record 10
Compound: CaPm2Th
Source: the Alexandria database
Functional: PBE
Structure: optimized geometry

Lattice parameters (Å, degrees): 3.661 3.661 12.324 81.46 81.46 60.00
Element x y z (fractional)
Ca 0.501 0.501 0.498
Pm 0.077 0.077 0.768
Pm 0.256 0.256 0.233
Th 0.666 0.666 0.001

Results
Calculated volume (Å³ per atom): 35.2
Total magnetization (μB per formula unit): 0.00
E (eV per formula unit): -18.78
Symmetry: No. 160



Record 11
Compound: CaPmTh2
Source: the Alexandria database
Functional: PBE
Structure: optimized geometry

Lattice parameters (Å, degrees): 5.334 5.032 5.032 90.00 90.00 90.00
Element x y z (fractional)
Ca 0.500 0.500 0.500
Th 0.000 0.000 0.500
Th 0.000 0.500 0.000
Pm 0.500 0.000 0.000

Results
Calculated volume (Å³ per atom): 33.8
Total magnetization (μB per formula unit): 0.00
E (eV per formula unit): -20.86
Symmetry: No. 123



Record 12
Compound: CaPmTh2
Source: the Alexandria database
Functional: PBE
Structure: optimized geometry

Lattice parameters (Å, degrees): 3.524 3.524 13.130 82.29 82.29 60.00
Element x y z (fractional)
Th 0.089 0.089 0.732
Th 0.911 0.911 0.268
Ca 0.000 0.000 0.000
Pm 0.500 0.500 0.500

Results
Calculated volume (Å³ per atom): 34.9
Total magnetization (μB per formula unit): 0.00
E (eV per formula unit): -20.58
Symmetry: No. 166